P:
# Re2SbCl GGA-PBE optimized geometry
data_Re2SbCl
_space_group_name_H-M_alt 'P 1 m 1'
_space_group_IT_number 6
_space_group_name_Hall 'P -2y'
_cell_length_a 3.0609
_cell_length_b 3.0124
_cell_length_c 9.2773
_cell_angle_alpha 90.00
_cell_angle_beta 99.33
_cell_angle_gamma 90.00
loop_
_atom_site_label
_atom_site_type_symbol
_atom_site_fract_x
_atom_site_fract_y
_atom_site_fract_z
_atom_site_occupancy
Re1 Re 0.0000 0.0000 0.0000 1
Re2 Re 0.4169 0.5000 0.8308 1
Sb1 Sb 0.8100 0.0000 0.6134 1
Cl1 Cl 0.1017 0.5000 0.2073 1
# Total magnetic moment, μB/cell: 0.000

---

Q:
# Re2SbCl GGA-PBE optimized geometry
data_Re2SbCl
_space_group_name_H-M_alt 'I m m m'
_space_group_IT_number 71
_space_group_name_Hall '-I 2 2'
_cell_length_a 2.9427
_cell_length_b 5.2489
_cell_length_c 8.8958
_cell_angle_alpha 90.00
_cell_angle_beta 90.00
_cell_angle_gamma 90.00
loop_
_atom_site_label
_atom_site_type_symbol
_atom_site_fract_x
_atom_site_fract_y
_atom_site_fract_z
_atom_site_occupancy
Re1 Re 0.0000 0.0000 0.2436 1
Sb1 Sb 0.0000 0.5000 0.0000 1
Cl1 Cl 0.0000 0.5000 0.5000 1
# Total magnetic moment, μB/cell: 0.000

---

R:
# Re2SbCl GGA-PBE optimized geometry
data_Re2SbCl
_space_group_name_H-M_alt 'R 3 m'
_space_group_IT_number 160
_space_group_name_Hall 'R 3 -2"'
_cell_length_a 3.0135
_cell_length_b 3.0135
_cell_length_c 30.4976
_cell_angle_alpha 90.00
_cell_angle_beta 90.00
_cell_angle_gamma 120.00
loop_
_atom_site_label
_atom_site_type_symbol
_atom_site_fract_x
_atom_site_fract_y
_atom_site_fract_z
_atom_site_occupancy
Re1 Re 0.0000 0.0000 0.0000 1
Re2 Re 0.0000 0.0000 0.2657 1
Sb1 Sb 0.0000 0.0000 0.5255 1
Cl1 Cl 0.0000 0.0000 0.7280 1
# Total magnetic moment, μB/cell: 0.000

---

Most stable one: P, least stable one: Q.

---

P:
# ReSbTe2Cl GGA-PBE optimized geometry
data_ReSbTe2Cl
_space_group_name_H-M_alt 'P 4/m m m'
_space_group_IT_number 123
_space_group_name_Hall '-P 4 2'
_cell_length_a 5.2129
_cell_length_b 5.2129
_cell_length_c 5.3085
_cell_angle_alpha 90.00
_cell_angle_beta 90.00
_cell_angle_gamma 90.00
loop_
_atom_site_label
_atom_site_type_symbol
_atom_site_fract_x
_atom_site_fract_y
_atom_site_fract_z
_atom_site_occupancy
Re1 Re 0.0000 0.0000 0.0000 1
Sb1 Sb 0.0000 0.0000 0.5000 1
Te1 Te 0.0000 0.5000 0.0000 1
Cl1 Cl 0.5000 0.5000 0.5000 1
# Total magnetic moment, μB/cell: 0.000

---

Q:
# ReSbTe2Cl GGA-PBE optimized geometry
data_ReSbTe2Cl
_space_group_name_H-M_alt 'P 4/m m m'
_space_group_IT_number 123
_space_group_name_Hall '-P 4 2'
_cell_length_a 5.1675
_cell_length_b 5.1675
_cell_length_c 5.0274
_cell_angle_alpha 90.00
_cell_angle_beta 90.00
_cell_angle_gamma 90.00
loop_
_atom_site_label
_atom_site_type_symbol
_atom_site_fract_x
_atom_site_fract_y
_atom_site_fract_z
_atom_site_occupancy
Re1 Re 0.0000 0.0000 0.0000 1
Sb1 Sb 0.5000 0.5000 0.0000 1
Te1 Te 0.0000 0.5000 0.5000 1
Cl1 Cl 0.5000 0.5000 0.5000 1
# Total magnetic moment, μB/cell: 0.000

---

Most stable one: P, least stable one: Q.

---

P:
# ReSb2TeCl GGA-PBE optimized geometry
data_ReSb2TeCl
_space_group_name_H-M_alt 'P 4/m m m'
_space_group_IT_number 123
_space_group_name_Hall '-P 4 2'
_cell_length_a 5.1720
_cell_length_b 5.1720
_cell_length_c 5.3870
_cell_angle_alpha 90.00
_cell_angle_beta 90.00
_cell_angle_gamma 90.00
loop_
_atom_site_label
_atom_site_type_symbol
_atom_site_fract_x
_atom_site_fract_y
_atom_site_fract_z
_atom_site_occupancy
Re1 Re 0.0000 0.0000 0.0000 1
Sb1 Sb 0.0000 0.5000 0.5000 1
Te1 Te 0.5000 0.5000 0.0000 1
Cl1 Cl 0.5000 0.5000 0.5000 1
# Total magnetic moment, μB/cell: 3.211

---

Q:
# ReSb2TeCl GGA-PBE optimized geometry
data_ReSb2TeCl
_space_group_name_H-M_alt 'P 4/m m m'
_space_group_IT_number 123
_space_group_name_Hall '-P 4 2'
_cell_length_a 5.2333
_cell_length_b 5.2333
_cell_length_c 5.2017
_cell_angle_alpha 90.00
_cell_angle_beta 90.00
_cell_angle_gamma 90.00
loop_
_atom_site_label
_atom_site_type_symbol
_atom_site_fract_x
_atom_site_fract_y
_atom_site_fract_z
_atom_site_occupancy
Re1 Re 0.0000 0.0000 0.0000 1
Sb1 Sb 0.0000 0.5000 0.0000 1
Te1 Te 0.0000 0.0000 0.5000 1
Cl1 Cl 0.5000 0.5000 0.5000 1
# Total magnetic moment, μB/cell: 0.000

---

Most stable one: Q, least stable one: P.

---

P:
# ScRe2Cl GGA-PBE optimized geometry
data_ScRe2Cl
_space_group_name_H-M_alt 'R 3 m'
_space_group_IT_number 160
_space_group_name_Hall 'R 3 -2"'
_cell_length_a 2.9978
_cell_length_b 2.9978
_cell_length_c 28.8521
_cell_angle_alpha 90.00
_cell_angle_beta 90.00
_cell_angle_gamma 120.00
loop_
_atom_site_label
_atom_site_type_symbol
_atom_site_fract_x
_atom_site_fract_y
_atom_site_fract_z
_atom_site_occupancy
Sc1 Sc 0.0000 0.0000 0.0000 1
Re1 Re 0.0000 0.0000 0.2550 1
Re2 Re 0.0000 0.0000 0.5198 1
Cl1 Cl 0.0000 0.0000 0.7298 1
# Total magnetic moment, μB/cell: 0.000

---

Q:
# ScRe2Cl GGA-PBE optimized geometry
data_ScRe2Cl
_space_group_name_H-M_alt 'F m -3 m'
_space_group_IT_number 225
_space_group_name_Hall '-F 4 2 3'
_cell_length_a 6.3822
_cell_length_b 6.3822
_cell_length_c 6.3822
_cell_angle_alpha 90.00
_cell_angle_beta 90.00
_cell_angle_gamma 90.00
loop_
_atom_site_label
_atom_site_type_symbol
_atom_site_fract_x
_atom_site_fract_y
_atom_site_fract_z
_atom_site_occupancy
Sc1 Sc 0.0000 0.0000 0.0000 1
Re1 Re 0.2500 0.2500 0.2500 1
Cl1 Cl 0.0000 0.0000 0.5000 1
# Total magnetic moment, μB/cell: 0.000

---

Most stable one: P, least stable one: Q.

---

P:
# ScRe2Cl GGA-PBE optimized geometry
data_ScRe2Cl
_space_group_name_H-M_alt 'I 4/m m m'
_space_group_IT_number 139
_space_group_name_Hall '-I 4 2'
_cell_length_a 3.5785
_cell_length_b 3.5785
_cell_length_c 11.2380
_cell_angle_alpha 90.00
_cell_angle_beta 90.00
_cell_angle_gamma 90.00
loop_
_atom_site_label
_atom_site_type_symbol
_atom_site_fract_x
_atom_site_fract_y
_atom_site_fract_z
_atom_site_occupancy
Sc1 Sc 0.0000 0.0000 0.0000 1
Re1 Re 0.0000 0.5000 0.2500 1
Cl1 Cl 0.0000 0.0000 0.5000 1
# Total magnetic moment, μB/cell: 0.000

---

Q:
# ScRe2Cl GGA-PBE optimized geometry
data_ScRe2Cl
_space_group_name_H-M_alt 'P m m m'
_space_group_IT_number 47
_space_group_name_Hall '-P 2 2'
_cell_length_a 2.9707
_cell_length_b 4.5078
_cell_length_c 5.4414
_cell_angle_alpha 90.00
_cell_angle_beta 90.00
_cell_angle_gamma 90.00
loop_
_atom_site_label
_atom_site_type_symbol
_atom_site_fract_x
_atom_site_fract_y
_atom_site_fract_z
_atom_site_occupancy
Sc1 Sc 0.0000 0.0000 0.0000 1
Re1 Re 0.5000 0.5000 0.2070 1
Cl1 Cl 0.0000 0.0000 0.5000 1
# Total magnetic moment, μB/cell: 0.000

---

Most stable one: P, least stable one: Q.

---

P:
# ScRe2Cl GGA-PBE optimized geometry
data_ScRe2Cl
_space_group_name_H-M_alt 'A m m 2'
_space_group_IT_number 38
_space_group_name_Hall 'A 2 -2'
_cell_length_a 3.0501
_cell_length_b 3.0637
_cell_length_c 15.1002
_cell_angle_alpha 90.00
_cell_angle_beta 90.00
_cell_angle_gamma 90.00
loop_
_atom_site_label
_atom_site_type_symbol
_atom_site_fract_x
_atom_site_fract_y
_atom_site_fract_z
_atom_site_occupancy
Sc1 Sc 0.0000 0.0000 0.0000 1
Re1 Re 0.0000 0.0000 0.2222 1
Re2 Re 0.5000 0.0000 0.6291 1
Cl1 Cl 0.5000 0.0000 0.3780 1
# Total magnetic moment, μB/cell: 0.000

---

Q:
# ScRe2Cl GGA-PBE optimized geometry
data_ScRe2Cl
_space_group_name_H-M_alt 'P m m m'
_space_group_IT_number 47
_space_group_name_Hall '-P 2 2'
_cell_length_a 3.1080
_cell_length_b 4.0906
_cell_length_c 5.5175
_cell_angle_alpha 90.00
_cell_angle_beta 90.00
_cell_angle_gamma 90.00
loop_
_atom_site_label
_atom_site_type_symbol
_atom_site_fract_x
_atom_site_fract_y
_atom_site_fract_z
_atom_site_occupancy
Sc1 Sc 0.0000 0.0000 0.0000 1
Re1 Re 0.0000 0.5000 0.5000 1
Re2 Re 0.5000 0.0000 0.5000 1
Cl1 Cl 0.5000 0.5000 0.0000 1
# Total magnetic moment, μB/cell: 0.000

---

R:
# ScRe2Cl GGA-PBE optimized geometry
data_ScRe2Cl
_space_group_name_H-M_alt 'C 1 m 1'
_space_group_IT_number 8
_space_group_name_Hall 'C -2y'
_cell_length_a 7.7860
_cell_length_b 3.1541
_cell_length_c 8.0935
_cell_angle_alpha 90.00
_cell_angle_beta 117.74
_cell_angle_gamma 90.00
loop_
_atom_site_label
_atom_site_type_symbol
_atom_site_fract_x
_atom_site_fract_y
_atom_site_fract_z
_atom_site_occupancy
Sc1 Sc 0.0000 0.0000 0.0000 1
Re1 Re 0.1649 0.0000 0.7673 1
Re2 Re 0.3933 0.0000 0.6379 1
Cl1 Cl 0.1949 0.5000 0.2762 1
# Total magnetic moment, μB/cell: 0.000

---

S:
# ScRe2Cl GGA-PBE optimized geometry
data_ScRe2Cl
_space_group_name_H-M_alt 'P 4/m m m'
_space_group_IT_number 123
_space_group_name_Hall '-P 4 2'
_cell_length_a 4.4807
_cell_length_b 4.4807
_cell_length_c 3.2053
_cell_angle_alpha 90.00
_cell_angle_beta 90.00
_cell_angle_gamma 90.00
loop_
_atom_site_label
_atom_site_type_symbol
_atom_site_fract_x
_atom_site_fract_y
_atom_site_fract_z
_atom_site_occupancy
Sc1 Sc 0.0000 0.0000 0.0000 1
Re1 Re 0.0000 0.5000 0.5000 1
Cl1 Cl 0.5000 0.5000 0.0000 1
# Total magnetic moment, μB/cell: 0.000

---

Most stable one: P, least stable one: S.

---

P:
# ScRe2Cl GGA-PBE optimized geometry
data_ScRe2Cl
_space_group_name_H-M_alt 'C m m m'
_space_group_IT_number 65
_space_group_name_Hall '-C 2 2'
_cell_length_a 4.9032
_cell_length_b 10.5017
_cell_length_c 2.7718
_cell_angle_alpha 90.00
_cell_angle_beta 90.00
_cell_angle_gamma 90.00
loop_
_atom_site_label
_atom_site_type_symbol
_atom_site_fract_x
_atom_site_fract_y
_atom_site_fract_z
_atom_site_occupancy
Sc1 Sc 0.0000 0.0000 0.0000 1
Re1 Re 0.2500 0.2500 0.5000 1
Cl1 Cl 0.0000 0.5000 0.0000 1
# Total magnetic moment, μB/cell: 0.416

---

Q:
# ScRe2Cl GGA-PBE optimized geometry
data_ScRe2Cl
_space_group_name_H-M_alt 'I m m m'
_space_group_IT_number 71
_space_group_name_Hall '-I 2 2'
_cell_length_a 2.9294
_cell_length_b 4.1222
_cell_length_c 12.0545
_cell_angle_alpha 90.00
_cell_angle_beta 90.00
_cell_angle_gamma 90.00
loop_
_atom_site_label
_atom_site_type_symbol
_atom_site_fract_x
_atom_site_fract_y
_atom_site_fract_z
_atom_site_occupancy
Sc1 Sc 0.0000 0.0000 0.0000 1
Re1 Re 0.0000 0.5000 0.2806 1
Cl1 Cl 0.0000 0.0000 0.5000 1
# Total magnetic moment, μB/cell: 0.000

---

Most stable one: Q, least stable one: P.

---

P:
# ScReCl2 GGA-PBE optimized geometry
data_ScReCl2
_space_group_name_H-M_alt 'I -4 m 2'
_space_group_IT_number 119
_space_group_name_Hall 'I -4 -2'
_cell_length_a 3.6560
_cell_length_b 3.6560
_cell_length_c 10.3896
_cell_angle_alpha 90.00
_cell_angle_beta 90.00
_cell_angle_gamma 90.00
loop_
_atom_site_label
_atom_site_type_symbol
_atom_site_fract_x
_atom_site_fract_y
_atom_site_fract_z
_atom_site_occupancy
Sc1 Sc 0.0000 0.0000 0.0000 1
Re1 Re 0.0000 0.5000 0.2500 1
Cl1 Cl 0.0000 0.0000 0.5000 1
Cl2 Cl 0.0000 0.5000 0.7500 1
# Total magnetic moment, μB/cell: 2.223

---

Q:
# ScReCl2 GGA-PBE optimized geometry
data_ScReCl2
_space_group_name_H-M_alt 'P 4/m m m'
_space_group_IT_number 123
_space_group_name_Hall '-P 4 2'
_cell_length_a 2.9255
_cell_length_b 2.9255
_cell_length_c 10.7524
_cell_angle_alpha 90.00
_cell_angle_beta 90.00
_cell_angle_gamma 90.00
loop_
_atom_site_label
_atom_site_type_symbol
_atom_site_fract_x
_atom_site_fract_y
_atom_site_fract_z
_atom_site_occupancy
Sc1 Sc 0.0000 0.0000 0.0000 1
Re1 Re 0.0000 0.0000 0.5000 1
Cl1 Cl 0.5000 0.5000 0.1473 1
# Total magnetic moment, μB/cell: 1.338

---

R:
# ScReCl2 GGA-PBE optimized geometry
data_ScReCl2
_space_group_name_H-M_alt 'C m m 2'
_space_group_IT_number 35
_space_group_name_Hall 'C 2 -2'
_cell_length_a 3.2523
_cell_length_b 5.4220
_cell_length_c 9.5542
_cell_angle_alpha 90.00
_cell_angle_beta 90.00
_cell_angle_gamma 90.00
loop_
_atom_site_label
_atom_site_type_symbol
_atom_site_fract_x
_atom_site_fract_y
_atom_site_fract_z
_atom_site_occupancy
Sc1 Sc 0.0000 0.0000 0.0000 1
Re1 Re 0.0000 0.5000 0.2305 1
Cl1 Cl 0.0000 0.0000 0.4223 1
Cl2 Cl 0.0000 0.5000 0.8039 1
# Total magnetic moment, μB/cell: 0.000

---

S:
# ScReCl2 GGA-PBE optimized geometry
data_ScReCl2
_space_group_name_H-M_alt 'P m m m'
_space_group_IT_number 47
_space_group_name_Hall '-P 2 2'
_cell_length_a 2.9182
_cell_length_b 4.2905
_cell_length_c 5.7214
_cell_angle_alpha 90.00
_cell_angle_beta 90.00
_cell_angle_gamma 90.00
loop_
_atom_site_label
_atom_site_type_symbol
_atom_site_fract_x
_atom_site_fract_y
_atom_site_fract_z
_atom_site_occupancy
Sc1 Sc 0.0000 0.0000 0.0000 1
Re1 Re 0.5000 0.0000 0.5000 1
Cl1 Cl 0.0000 0.5000 0.5000 1
Cl2 Cl 0.5000 0.5000 0.0000 1
# Total magnetic moment, μB/cell: 0.638

---

Most stable one: R, least stable one: P.